Here is a geometry-optimized CrBiNO2 structure from Alexandria. Energies are from PBE with a Hubbard U.

Lattice parameters (Å, degrees): 3.9374 3.9374 3.8385 90.00 90.00 90.00
Each line ends with the local moment (μB).
Atoms (fractional coordinates):
O (0.5000, 0.0000, 0.0000)  -0.03
O (0.0000, 0.5000, 0.0000)  -0.03
N (0.0000, 0.0000, 0.5000)  -0.43
Cr (0.0000, 0.0000, 0.0000)  2.53
Bi (0.5000, 0.5000, 0.5000)  0.06

Size of the total moment (μB/f.u.): 2.0
E (eV/cell): -32.5
Fermi-level density of states (states/eV/cell): 1.23